# SrMoSCl2

An optimized crystal structure of SrMoSCl2 (PBE, Alexandria via LeMat-Bulk).

* excess energy over the best structure of this formula in the dataset: 801 meV per atom
* formation energy (no corrections): -0.099 eV per atom
* space group: P4/mmm
* density of states at the Fermi level: 5.5 states/eV/cell
* total magnetic moment: 4.00 μB/cell

abc: 5.404 5.404 5.831
angles: 90.00 90.00 90.00
Fractional coordinates of all 5 atoms:
Sr 0.000 0.000 0.000
Mo 0.500 0.500 0.500
S 0.000 0.000 0.500
Cl 0.000 0.500 0.000
Cl 0.500 0.000 0.000